Record 1
First-principles (PBE) data for a relaxed structure of Tb7Ho4Tm, as listed in Alexandria via LeMat-Bulk.

Crystal system: monoclinic
Distance to the lowest polymorph of the same formula in eV per formula unit: 3.48
E_form in eV/atom: 0.291

Structure (POSCAR):
```
Tb7Ho4Tm
1.0
5.968 -2.933 0.000
5.968 2.933 0.000
-5.930 0.000 11.100
Tb Ho Tm
7 4 1
Cartesian
0.000 0.000 0.000
-2.948 0.000 10.252
-1.122 0.000 7.573
1.425 0.000 5.547
4.581 0.000 5.552
7.128 0.000 3.526
8.954 0.000 0.848
-1.169 0.000 3.563
3.017 0.000 2.488
2.989 0.000 8.612
7.175 0.000 7.537
5.968 0.000 0.000
```


Record 2
First-principles (PBE) data for a relaxed structure of InSi2P, as listed in Alexandria via LeMat-Bulk.

Crystal system: tetragonal
Distance to the lowest polymorph of the same formula in eV per formula unit: 1.90
Raw formation energy in kJ/mol of atoms: 58

Structure (POSCAR):
```
InSi2P
1.0
4.481 0.000 0.000
0.000 4.481 0.000
0.000 0.000 7.138
In Si P
2 4 2
Cartesian
0.000 0.000 0.000
2.240 2.240 3.569
0.000 0.000 3.569
0.000 2.240 1.784
2.240 0.000 5.353
2.240 2.240 0.000
0.000 2.240 5.353
2.240 0.000 1.784
```


Record 3
First-principles (PBE) data for a relaxed structure of Ca4Pu3MgN8, as listed in Alexandria via LeMat-Bulk.

Crystal system: trigonal
Raw formation energy in kJ/mol of atoms: -106

Structure (POSCAR):
```
Ca4Pu3MgN8
1.0
3.429 1.980 5.649
-3.429 1.980 5.649
0.000 -3.960 5.649
Ca Pu Mg N
4 3 1 8
Cartesian
0.000 0.000 0.000
-1.715 -0.990 5.649
-1.715 0.990 11.299
0.000 1.980 5.649
-3.429 0.000 8.474
-1.715 0.990 2.825
1.715 0.990 2.825
0.000 0.000 8.474
-1.792 -1.035 9.681
0.000 0.000 4.077
0.000 -2.069 7.267
-1.792 1.035 7.267
1.792 -1.035 9.681
0.000 2.069 9.681
0.000 0.000 12.870
1.792 1.035 7.267
```


Record 4
First-principles (PBE) data for a relaxed structure of Ba2TiVZn, as listed in Alexandria via LeMat-Bulk.

Crystal system: tetragonal
E_form in eV/atom: 1.222

Structure (POSCAR):
```
Ba2TiVZn
1.0
6.125 0.000 0.000
0.000 6.125 0.000
0.000 0.000 5.107
Ba Ti V Zn
2 1 1 1
Cartesian
0.000 3.063 0.000
3.063 0.000 0.000
0.000 0.000 2.554
3.063 3.063 2.554
0.000 0.000 0.000
```


Record 5
First-principles (PBE) data for a relaxed structure of ZnCd3, as listed in Alexandria via LeMat-Bulk.

Crystal system: tetragonal
E_form in eV/atom: 0.055

Structure (POSCAR):
```
ZnCd3
1.0
3.078 0.000 0.000
0.000 3.078 0.000
0.000 0.000 8.816
Zn Cd
1 3
Cartesian
0.000 0.000 0.000
0.000 0.000 4.408
1.539 1.539 2.007
1.539 1.539 6.809
```


Record 6
First-principles (PBE) data for a relaxed structure of Zr2TaOs, as listed in Alexandria via LeMat-Bulk.

Crystal system: tetragonal
Distance to the lowest polymorph of the same formula in eV per formula unit: 0.09
E_form in eV/atom: -0.202

Structure (POSCAR):
```
Zr2TaOs
1.0
3.194 0.000 0.000
0.000 3.194 0.000
0.000 0.000 7.601
Zr Ta Os
2 1 1
Cartesian
0.000 0.000 0.000
1.597 1.597 2.259
1.597 1.597 5.564
0.000 0.000 4.061
```


Record 7
First-principles (PBE) data for a relaxed structure of Ta2CdRh, as listed in Alexandria via LeMat-Bulk.

Crystal system: monoclinic
E_form in eV/atom: 0.088

Structure (POSCAR):
```
Ta2CdRh
1.0
4.950 0.000 0.000
0.000 2.925 0.000
-1.639 0.000 4.840
Ta Cd Rh
2 1 1
Cartesian
0.000 0.000 0.000
2.475 1.463 0.000
-0.820 1.463 2.420
1.655 0.000 2.420
```


Record 8
First-principles (PBE) data for a relaxed structure of TbEr2PuAs4, as listed in Alexandria via LeMat-Bulk.

Crystal system: monoclinic
E_form in eV/atom: -1.390

Structure (POSCAR):
```
TbEr2PuAs4
1.0
7.107 0.000 0.000
0.000 4.117 0.000
-2.371 0.000 6.705
Tb Er Pu As
1 2 1 4
Cartesian
0.000 0.000 0.000
2.368 0.000 3.353
3.553 2.058 0.000
-1.186 2.058 3.353
0.013 0.000 5.025
1.198 2.058 1.691
3.538 2.058 5.015
4.723 0.000 1.681
```


Record 9
First-principles (PBE) data for a relaxed structure of Ba3HoTa2O9, as listed in Alexandria via LeMat-Bulk.

Crystal system: trigonal
Raw formation energy in kJ/mol of atoms: -295

Structure (POSCAR):
```
Ba3HoTa2O9
1.0
5.961 0.000 0.000
-2.980 5.162 0.000
0.000 0.000 7.309
Ba Ho Ta O
3 1 2 9
Cartesian
0.000 0.000 0.000
0.000 3.441 4.879
2.980 1.721 2.430
0.000 0.000 3.654
0.000 3.441 1.193
2.980 1.721 6.116
-1.490 2.581 0.000
0.000 1.807 2.332
-1.415 4.259 2.332
1.565 0.903 4.977
2.980 0.000 0.000
1.490 2.581 0.000
1.415 4.259 2.332
4.396 0.903 4.977
2.980 3.355 4.977
```


Record 10
First-principles (PBE) data for a relaxed structure of BaCdF3, as listed in Alexandria via LeMat-Bulk.

Crystal system: monoclinic
Distance to the lowest polymorph of the same formula in eV per formula unit: 0.00
Raw formation energy in kJ/mol of atoms: -277

Structure (POSCAR):
```
BaCdF3
1.0
7.324 -2.088 0.000
7.324 2.088 0.000
-2.482 0.000 6.825
Ba Cd F
2 2 6
Cartesian
2.156 0.000 1.454
10.011 0.000 5.371
5.946 0.000 2.119
6.220 0.000 4.706
-1.955 0.000 5.551
1.712 0.000 4.156
4.762 0.000 0.270
7.405 0.000 6.555
10.455 0.000 2.669
14.122 0.000 1.274
```


Record 11
First-principles (PBE) data for a relaxed structure of AlSbSe2, as listed in Alexandria via LeMat-Bulk.

Crystal system: orthorhombic
Distance to the lowest polymorph of the same formula in eV per formula unit: 1.52
Raw formation energy in kJ/mol of atoms: -11

Structure (POSCAR):
```
AlSbSe2
1.0
3.609 0.000 0.000
0.000 6.648 0.000
0.000 0.000 8.174
Al Sb Se
2 2 4
Cartesian
0.000 0.000 0.000
1.804 3.324 0.000
0.000 0.000 4.087
1.804 3.324 4.087
0.000 3.324 1.694
0.000 3.324 6.480
1.804 0.000 1.694
1.804 0.000 6.480
```


Record 12
First-principles (PBE) data for a relaxed structure of SrCd3Ga3, as listed in Alexandria via LeMat-Bulk.

Crystal system: monoclinic
Distance to the lowest polymorph of the same formula in eV per formula unit: 0.00
E_form in eV/atom: -0.225

Structure (POSCAR):
```
SrCd3Ga3
1.0
7.175 0.000 0.000
0.000 4.766 0.000
-3.118 0.000 9.361
Sr Cd Ga
2 6 6
Cartesian
0.048 1.192 2.628
4.009 3.575 6.732
-1.718 1.192 8.706
0.399 3.575 7.989
2.328 3.575 3.540
1.729 1.192 5.820
3.658 1.192 1.371
5.774 3.575 0.655
-1.073 1.192 5.970
0.035 3.575 5.148
1.569 3.575 0.805
2.488 1.192 8.555
4.022 1.192 4.213
5.130 3.575 3.390
```


Record 13
First-principles (PBE) data for a relaxed structure of Nd5CdGe2, as listed in Alexandria via LeMat-Bulk.

Crystal system: tetragonal
E_form in eV/atom: -0.521

Structure (POSCAR):
```
Nd5CdGe2
1.0
-3.976 3.976 7.399
3.976 -3.976 7.399
3.976 3.976 -7.399
Nd Cd Ge
10 2 4
Cartesian
0.000 0.000 0.000
5.319 1.343 -2.074
1.343 2.633 -2.074
5.319 1.343 2.074
1.343 2.633 2.074
0.000 0.000 7.399
2.633 1.343 5.326
-1.343 2.633 5.326
2.633 1.343 9.473
-1.343 2.633 9.473
0.000 0.000 3.700
0.000 0.000 11.099
2.939 1.037 0.000
2.939 -1.037 7.399
1.037 5.013 0.000
1.037 2.939 7.399
```


Record 14
First-principles (PBE) data for a relaxed structure of Ba3Na2Sb4, as listed in Alexandria via LeMat-Bulk.

Crystal system: monoclinic
Raw formation energy in kJ/mol of atoms: -78

Structure (POSCAR):
```
Ba3Na2Sb4
1.0
9.331 0.000 0.000
0.000 8.318 0.000
-9.218 0.000 17.209
Ba Na Sb
12 8 16
Cartesian
-2.946 1.463 6.323
-7.555 2.696 14.928
1.796 0.103 1.638
-2.813 4.055 10.242
2.913 4.272 1.648
-1.696 8.205 10.252
1.810 0.113 6.957
-2.799 4.046 15.562
2.927 4.262 6.967
-1.682 8.214 15.571
7.669 5.622 2.282
3.060 6.855 10.886
-1.470 5.687 6.491
-6.078 6.789 15.095
-4.340 1.248 12.962
0.269 2.911 4.358
-0.155 5.407 12.851
4.454 7.070 4.247
6.192 1.529 2.114
1.583 2.630 10.718
-4.923 1.302 9.260
-0.314 2.856 0.655
-5.292 4.304 12.944
-0.683 8.173 4.339
1.293 6.048 4.300
-3.316 6.428 12.905
-4.865 1.263 16.535
-0.257 2.896 7.931
0.370 5.422 9.278
4.979 7.055 0.674
3.429 1.889 4.304
-1.179 2.269 12.909
0.797 0.145 12.870
5.405 4.014 4.265
0.428 5.461 16.554
5.037 7.015 7.950
```


Record 15
First-principles (PBE) data for a relaxed structure of NaSrHfCd2, as listed in Alexandria via LeMat-Bulk.

Crystal system: tetragonal
E_form in eV/atom: 0.879

Structure (POSCAR):
```
NaSrHfCd2
1.0
5.196 0.000 0.000
0.000 5.196 0.000
0.000 0.000 5.341
Na Sr Hf Cd
1 1 1 2
Cartesian
0.000 0.000 0.000
0.000 0.000 2.671
2.598 2.598 2.671
0.000 2.598 0.000
2.598 0.000 0.000
```


Record 16
First-principles (PBE) data for a relaxed structure of CsBiSbTe2, as listed in Alexandria via LeMat-Bulk.

Crystal system: tetragonal
Distance to the lowest polymorph of the same formula in eV per formula unit: 6.28
Raw formation energy in kJ/mol of atoms: 121

Structure (POSCAR):
```
CsBiSbTe2
1.0
6.248 0.000 0.000
0.000 6.248 0.000
0.000 0.000 6.192
Cs Bi Sb Te
1 1 1 2
Cartesian
0.000 0.000 0.000
3.124 3.124 3.096
0.000 0.000 3.096
0.000 3.124 0.000
3.124 0.000 0.000
```


Record 17
First-principles (PBE) data for a relaxed structure of Tl3AsF, as listed in Alexandria via LeMat-Bulk.

Crystal system: monoclinic
Distance to the lowest polymorph of the same formula in eV per formula unit: 0.00
Raw formation energy in kJ/mol of atoms: -57

Structure (POSCAR):
```
Tl3AsF
1.0
6.625 0.000 0.000
0.000 4.322 0.000
-1.696 0.000 9.675
Tl As F
6 2 2
Cartesian
-0.455 1.080 3.435
1.882 1.080 0.176
2.018 1.080 6.155
2.912 3.241 3.521
3.048 3.241 9.499
5.384 3.241 6.240
0.490 3.241 1.776
4.439 1.080 7.899
1.102 3.241 7.174
3.827 1.080 2.501
```


Record 18
First-principles (PBE) data for a relaxed structure of Pd3Pb12Au5, as listed in Alexandria via LeMat-Bulk.

Crystal system: cubic
E_form in eV/atom: 0.023

Structure (POSCAR):
```
Pd3Pb12Au5
1.0
-8.357 8.357 8.357
8.357 -8.357 8.357
8.357 8.357 -8.357
Pd Pb Au
12 48 20
Cartesian
4.178 2.089 0.000
8.357 4.178 -2.089
2.089 0.000 4.178
10.446 0.000 4.178
0.000 4.178 2.089
4.178 -2.089 8.357
4.178 10.446 0.000
8.357 4.178 6.268
-2.089 8.357 4.178
6.268 8.357 4.178
0.000 4.178 10.446
4.178 6.268 8.357
2.508 -0.342 1.375
10.027 5.554 -4.520
8.015 -1.375 2.508
12.877 -1.671 2.803
10.865 0.342 1.375
10.027 -2.803 4.520
1.375 2.508 -0.342
11.160 3.837 -1.671
5.554 4.520 -1.671
6.982 2.508 0.342
-0.342 1.375 2.508
4.520 -1.671 5.554
8.015 6.982 -2.508
4.520 1.671 2.803
6.982 -2.508 8.015
5.554 -4.520 10.027
2.803 4.520 1.671
9.732 5.849 0.342
2.508 8.015 -1.375
10.027 2.803 3.837
4.520 10.027 -2.803
8.015 1.375 5.849
1.671 2.803 4.520
2.508 0.342 6.982
5.849 8.015 1.375
6.686 5.554 3.837
0.342 6.982 2.508
3.837 -1.671 11.160
-1.671 5.554 4.520
5.849 0.342 9.732
-1.375 2.508 8.015
5.554 3.837 6.686
2.803 12.877 -1.671
1.375 10.865 0.342
3.837 6.686 5.554
0.342 1.375 10.865
3.837 10.027 2.803
8.699 6.982 5.849
1.375 5.849 8.015
2.803 3.837 10.027
-2.803 4.520 10.027
6.982 5.849 8.699
-1.671 11.160 3.837
-2.508 8.015 6.982
-4.520 10.027 5.554
0.342 9.732 5.849
-1.671 2.803 12.877
5.849 8.699 6.982
0.000 0.000 0.000
4.178 4.178 -4.178
4.178 -4.178 4.178
8.357 0.000 0.000
12.535 2.089 0.000
8.357 -4.178 6.268
6.268 8.357 -4.178
6.268 0.000 4.178
4.178 6.268 0.000
8.357 4.178 2.089
-4.178 4.178 4.178
0.000 8.357 0.000
0.000 0.000 8.357
4.178 4.178 4.178
0.000 4.178 6.268
4.178 2.089 8.357
2.089 8.357 4.178
2.089 0.000 12.535
0.000 12.535 2.089
-4.178 6.268 8.357
```


Record 19
First-principles (PBE) data for a relaxed structure of Li3H, as listed in Alexandria via LeMat-Bulk.

Crystal system: orthorhombic
Distance to the lowest polymorph of the same formula in eV per formula unit: 0.18

Structure (POSCAR):
```
Li3H
1.0
2.594 0.000 0.000
0.000 8.407 0.000
0.000 0.000 4.958
Li H
6 2
Cartesian
0.000 0.000 0.000
0.000 1.313 2.269
0.000 7.094 2.269
1.297 2.890 4.748
1.297 4.203 2.479
1.297 5.517 4.748
0.000 4.203 3.982
1.297 0.000 1.503
```